Entry 1:
Computed, not measured: LiFe2I after structural relaxation at the PBE level of DFT.

The structure in POSCAR format:
```
LiFe2I
1.0
1.141 0.682 3.935
-2.690 -0.683 3.090
0.573 -3.203 2.581
Li I Fe
1 1 2
Cartesian
0.000 0.000 0.000
-0.488 -1.602 4.803
-0.732 -2.403 7.205
-0.244 -0.801 2.402
```

Properties
Distance to the lowest polymorph of the same formula   0.000 eV/f.u.
M_tot   0.000 μB/atom
VASP energy   -17.7 eV for the cell shown
ρ   8.05 g/cm3

---

Entry 2:
Computed, not measured: LiFeI2 after structural relaxation at the PBE level of DFT.

The structure in POSCAR format:
```
LiFeI2
1.0
-6.247 -0.519 0.382
-0.184 -2.131 -5.904
-2.598 -7.203 -0.659
Li I Fe
2 4 2
Cartesian
-2.999 -5.330 -4.662
-3.215 -1.325 -2.761
-1.437 -3.189 -3.814
-7.579 -7.758 -5.428
-4.685 -2.400 -0.657
-4.357 -6.359 -2.462
0.000 0.000 0.000
-6.030 -4.524 -1.519
```

Properties
Distance to the lowest polymorph of the same formula   0.000 eV/f.u.
M_tot   0.750 μB/atom
VASP energy   -29.4 eV for the cell shown
ρ   4.25 g/cm3

---

Which of these has the highest M_tot?
LiFeI2

---

Which value of distance to the lowest polymorph of the same formula does entry 2 give?
0.000 eV/f.u.